1.
First-principles (PBE-GGA) data for a relaxed structure of Tb2Mg3Ag, as listed in the Alexandria database.

Properties
D(E_F) = 4.52 states/eV per cell
total magnetic moment = 0.00 μB/cell
calculated volume = 148.7 Å³ per cell
total DFT energy (no corrections) = -2.94 eV per atom

The structure in POSCAR format:
```
Tb2Mg3Ag
1.0
3.319 0.000 0.000
0.000 5.090 0.000
0.000 0.000 8.805
Tb Mg Ag
2 3 1
direct
0.000 0.500 0.015
0.000 0.000 0.488
0.500 0.500 0.663
0.500 0.000 0.169
0.500 0.000 0.831
0.500 0.500 0.334
```

---

2.
First-principles (PBE-GGA) data for a relaxed structure of PmSmSiNi, as listed in the Alexandria database.

Properties
raw formation energy = -0.38 eV/atom
D(E_F) = 2.13 states/eV per cell
total magnetic moment = 0.00 μB/cell
calculated volume = 89.4 Å³ per cell
total DFT energy (no corrections) = -5.55 eV per atom

The structure in POSCAR format:
```
PmSmSiNi
1.0
5.019 0.000 0.000
2.509 4.346 0.000
2.509 1.449 4.098
Ni Pm Sm Si
1 1 1 1
direct
0.250 0.250 0.250
0.500 0.500 0.500
0.000 0.000 0.000
0.750 0.750 0.750
```

---

3.
First-principles (PBE-GGA) data for a relaxed structure of SmGdAgRh, as listed in the Alexandria database.

Properties
D(E_F) = 3.70 states/eV per cell
total magnetic moment = 7.20 μB/cell
calculated volume = 91.8 Å³ per cell
total DFT energy (no corrections) = -7.75 eV per atom

The structure in POSCAR format:
```
SmGdAgRh
1.0
-2.292 0.512 4.486
-4.296 -2.507 0.949
-0.012 -3.848 3.292
Rh Gd Sm Ag
1 1 1 1
direct
0.750 0.750 0.750
0.000 0.000 0.000
0.500 0.500 0.500
0.250 0.250 0.250
```